Entry from Alexandria: an optimized crystal structure of SrTb2Ir9 (PBE).

Unit cell a=5.371 b=5.371 c=9.266 alpha=73.15 beta=73.15 gamma=60.00
Sites, in units of the cell vectors:
Ir1 0.667 0.667 0.998
Ir2 0.333 0.333 0.002
Ir3 0.084 0.582 0.753
Ir4 0.418 0.916 0.247
Ir5 0.916 0.418 0.247
Ir6 0.500 0.500 0.500
Ir7 0.582 0.582 0.753
Ir8 0.418 0.418 0.247
Ir9 0.582 0.084 0.753
Tb1 0.861 0.861 0.416
Tb2 0.139 0.139 0.584
Sr1 0.000 0.000 0.000

Output
Magnetization, μB per formula unit: 0.0
Crystal system: trigonal


Entry from Alexandria: an optimized crystal structure of SrTb2Ir (PBE).

Unit cell a=4.178 b=4.178 c=9.619 alpha=77.46 beta=77.46 gamma=60.00
Sites, in units of the cell vectors:
Tb1 0.049 0.049 0.853
Tb2 0.284 0.284 0.149
Ir1 0.666 0.666 0.001
Sr1 0.501 0.501 0.496

Output
Magnetization, μB per formula unit: 0.0
Crystal system: trigonal


Entry from Alexandria: an optimized crystal structure of SrTcIr2 (PBE).

Unit cell a=7.550 b=7.550 c=6.107 alpha=51.82 beta=51.82 gamma=90.00
Sites, in units of the cell vectors:
Ir1 0.694 0.125 0.250
Ir2 0.375 0.306 0.750
Ir3 0.875 0.944 0.750
Ir4 0.056 0.625 0.250
Sr1 0.250 0.750 0.500
Sr2 0.500 0.500 0.000
Tc1 0.000 0.000 0.000
Tc2 0.750 0.250 0.500

Output
Magnetization, μB per formula unit: 0.0
Crystal system: tetragonal


Entry from Alexandria: an optimized crystal structure of Sr2TcIr2 (PBE).

Unit cell a=8.709 b=8.709 c=3.009 alpha=90.00 beta=90.00 gamma=90.00
Sites, in units of the cell vectors:
Sr1 0.631 0.131 0.000
Sr2 0.369 0.869 0.000
Sr3 0.869 0.631 0.000
Sr4 0.131 0.369 0.000
Tc1 0.500 0.500 0.000
Tc2 0.000 0.000 0.000
Ir1 0.827 0.327 0.500
Ir2 0.673 0.827 0.500
Ir3 0.173 0.673 0.500
Ir4 0.327 0.173 0.500

Output
Magnetization, μB per formula unit: 3.8
Crystal system: tetragonal


Entry from Alexandria: an optimized crystal structure of SrTcIr2 (PBE).

Unit cell a=3.153 b=3.153 c=7.715 alpha=90.00 beta=90.00 gamma=90.00
Sites, in units of the cell vectors:
Ir1 0.000 0.000 0.987
Ir2 0.500 0.500 0.198
Sr1 0.000 0.000 0.491
Tc1 0.500 0.500 0.824

Output
Magnetization, μB per formula unit: 0.0
Crystal system: tetragonal


Entry from Alexandria: an optimized crystal structure of SrTcIr2 (PBE).

Unit cell a=2.787 b=5.163 c=5.843 alpha=55.39 beta=90.00 gamma=90.00
Sites, in units of the cell vectors:
Tc1 0.000 0.000 0.500
Sr1 0.500 0.500 0.500
Ir1 0.500 0.500 0.000
Ir2 0.000 0.000 0.000

Output
Magnetization, μB per formula unit: 0.0
Crystal system: monoclinic


Entry from Alexandria: an optimized crystal structure of SrTcIr3 (PBE).

Unit cell a=4.796 b=4.796 c=4.796 alpha=90.00 beta=90.00 gamma=90.00
Sites, in units of the cell vectors:
Ir1 0.500 0.000 0.000
Ir2 0.000 0.000 0.500
Ir3 0.000 0.500 0.000
Tc1 0.000 0.000 0.000
Sr1 0.500 0.500 0.500

Output
Magnetization, μB per formula unit: 0.0
Crystal system: cubic


Entry from Alexandria: an optimized crystal structure of SrTc4Ir (PBE).

Unit cell a=5.277 b=5.277 c=5.277 alpha=60.00 beta=60.00 gamma=60.00
Sites, in units of the cell vectors:
Tc1 0.375 0.375 0.874
Tc2 0.375 0.874 0.375
Tc3 0.874 0.375 0.375
Tc4 0.375 0.375 0.375
Sr1 0.000 0.000 0.000
Ir1 0.750 0.750 0.750

Output
Magnetization, μB per formula unit: 0.0
Crystal system: cubic


Number 1: formation energy from the elements -0.448 eV per atom. Number 2: formation energy from the elements -0.425 eV per atom. Number 3: formation energy from the elements 0.554 eV per atom. Number 4: formation energy from the elements 1.014 eV per atom. Number 5: formation energy from the elements 0.461 eV per atom. Number 6: formation energy from the elements 0.632 eV per atom. Number 7: formation energy from the elements 0.774 eV per atom. Number 8: formation energy from the elements 0.594 eV per atom.